[1]
Computed, not measured: a relaxed Ba2LaZr crystal at the PBE-GGA level of DFT.

Properties
Energy relative to the elements   0.524 eV per atom
DOS at the Fermi energy   7.64 states/eV/f.u.
Energy relative to the lowest polymorph listed for this composition   0.79 eV per formula unit
Space-group type   I-4m2, No. 119
Total moment   0.854 μB per formula unit

Cell: 6.4017 6.4017 6.4017 Å, 128.51 128.51 75.81°
Element x y z (fractional)
1 Ba 0.0000 0.0000 0.0000
2 Ba 0.7500 0.2500 0.5000
3 La 0.2500 0.7500 0.5000
4 Zr 0.5000 0.5000 0.0000

[2]
Computed, not measured: a relaxed BaLa2Zr crystal at the PBE-GGA level of DFT.

Properties
Energy relative to the elements   0.286 eV per atom
DOS at the Fermi energy   5.34 states/eV/f.u.
Energy relative to the lowest polymorph listed for this composition   0.40 eV per formula unit
Space-group type   P4mm, No. 99
Total moment   0.000 μB per formula unit

Cell: 3.6251 3.6251 10.8914 Å, 90.00 90.00 90.00°
Element x y z (fractional)
1 Ba 0.0000 0.0000 0.0000
2 La 0.0000 0.0000 0.5437
3 La 0.5000 0.5000 0.3067
4 Zr 0.5000 0.5000 0.7438

[3]
Computed, not measured: a relaxed Ba2LaZr crystal at the PBE-GGA level of DFT.

Properties
Energy relative to the elements   0.327 eV per atom
DOS at the Fermi energy   5.61 states/eV/f.u.
Energy relative to the lowest polymorph listed for this composition   0.00 eV per formula unit
Space-group type   Pmm2, No. 25
Total moment   0.001 μB per formula unit

Cell: 3.8910 4.4477 9.9280 Å, 90.00 90.00 90.00°
Element x y z (fractional)
1 Ba 0.0000 0.0000 0.0000
2 Ba 0.5000 0.5000 0.3474
3 La 0.0000 0.0000 0.6188
4 Zr 0.5000 0.5000 0.7611

[4]
Computed, not measured: a relaxed BaLa2Zr crystal at the PBE-GGA level of DFT.

Properties
Energy relative to the elements   0.386 eV per atom
DOS at the Fermi energy   5.85 states/eV/f.u.
Energy relative to the lowest polymorph listed for this composition   0.80 eV per formula unit
Space-group type   P4/mmm, No. 123
Total moment   0.001 μB per formula unit

Cell: 5.2415 5.2415 5.0929 Å, 90.00 90.00 90.00°
Element x y z (fractional)
1 Ba 0.0000 0.0000 0.0000
2 La 0.0000 0.5000 0.5000
3 La 0.5000 0.0000 0.5000
4 Zr 0.5000 0.5000 0.0000

The lowest total moment belongs to which entry? number 2

Please write out number 1 again, unchanged.
Computed, not measured: a relaxed Ba2LaZr crystal at the PBE-GGA level of DFT.

Properties
Energy relative to the elements   0.524 eV per atom
DOS at the Fermi energy   7.64 states/eV/f.u.
Energy relative to the lowest polymorph listed for this composition   0.79 eV per formula unit
Space-group type   I-4m2, No. 119
Total moment   0.854 μB per formula unit

Cell: 6.4017 6.4017 6.4017 Å, 128.51 128.51 75.81°
Element x y z (fractional)
1 Ba 0.0000 0.0000 0.0000
2 Ba 0.7500 0.2500 0.5000
3 La 0.2500 0.7500 0.5000
4 Zr 0.5000 0.5000 0.0000

Which value of energy relative to the elements does entry 4 give? 0.386 eV per atom

Among the records above, which one has the highest energy relative to the elements? number 1